Np3Ge6Pt5 after structural relaxation, computed with PBE-GGA.

Magnetization = 12.15 μB per formula unit
Formation energy = -0.46 eV/atom
Symmetry = Pmmn
Density = 13470 kg/m3

a b c (Å): 4.388 13.161 9.060
angles (deg): 90.00 90.00 90.00
Atoms (fractional coordinates):
1 Np 0.250 0.048 0.246
2 Np 0.250 0.452 0.246
3 Np 0.250 0.750 0.257
4 Np 0.750 0.250 0.743
5 Np 0.750 0.548 0.754
6 Np 0.750 0.952 0.754
7 Ge 0.250 0.076 0.896
8 Ge 0.250 0.250 0.093
9 Ge 0.250 0.250 0.448
10 Ge 0.250 0.424 0.896
11 Ge 0.250 0.594 0.530
12 Ge 0.250 0.906 0.530
13 Ge 0.750 0.094 0.470
14 Ge 0.750 0.406 0.470
15 Ge 0.750 0.576 0.104
16 Ge 0.750 0.750 0.552
17 Ge 0.750 0.750 0.907
18 Ge 0.750 0.924 0.104
19 Pt 0.250 0.098 0.618
20 Pt 0.250 0.402 0.618
21 Pt 0.250 0.628 0.975
22 Pt 0.250 0.750 0.706
23 Pt 0.250 0.872 0.975
24 Pt 0.750 0.128 0.025
25 Pt 0.750 0.250 0.294
26 Pt 0.750 0.372 0.025
27 Pt 0.750 0.598 0.382
28 Pt 0.750 0.902 0.382


Np2GePt3 after structural relaxation, computed with PBE-GGA.

Magnetization = 7.24 μB per formula unit
Formation energy = -0.55 eV/atom
Symmetry = Pmm2
Density = 15724 kg/m3

a b c (Å): 3.387 4.498 7.846
angles (deg): 90.00 90.00 90.00
Atoms (fractional coordinates):
1 Np 0.000 0.000 0.000
2 Np 0.000 0.500 0.471
3 Ge 0.500 0.500 0.808
4 Pt 0.500 0.000 0.329
5 Pt 0.500 0.000 0.673
6 Pt 0.500 0.500 0.129


Np3Ge4Pt4 after structural relaxation, computed with PBE-GGA.

Magnetization = 11.88 μB per formula unit
Formation energy = -0.51 eV/atom
Symmetry = Immm
Density = 13658 kg/m3
E above lowest polymorph = 0.000 eV/atom

a b c (Å): 13.326 13.326 13.326
angles (deg): 163.21 161.52 25.07
Atoms (fractional coordinates):
1 Np 0.000 0.000 0.000
2 Np 0.357 0.857 0.500
3 Np 0.643 0.143 0.500
4 Ge 0.191 0.691 0.500
5 Ge 0.453 0.453 0.000
6 Ge 0.547 0.547 0.000
7 Ge 0.809 0.309 0.500
8 Pt 0.096 0.596 0.500
9 Pt 0.253 0.253 0.000
10 Pt 0.747 0.747 0.000
11 Pt 0.904 0.404 0.500


NpGe2Pt3 after structural relaxation, computed with PBE-GGA.

Magnetization = 3.84 μB per formula unit
Formation energy = -0.55 eV/atom
Symmetry = C2/m
Density = 14713 kg/m3

a b c (Å): 8.620 8.620 10.107
angles (deg): 106.46 106.46 27.13
Atoms (fractional coordinates):
1 Np 0.000 0.000 0.000
2 Np 0.157 0.157 0.697
3 Np 0.843 0.843 0.303
4 Ge 0.198 0.198 0.131
5 Ge 0.362 0.362 0.548
6 Ge 0.458 0.458 0.221
7 Ge 0.542 0.542 0.779
8 Ge 0.638 0.638 0.452
9 Ge 0.802 0.802 0.869
10 Pt 0.040 0.040 0.329
11 Pt 0.222 0.222 0.388
12 Pt 0.323 0.323 0.040
13 Pt 0.387 0.387 0.812
14 Pt 0.500 0.500 0.500
15 Pt 0.613 0.613 0.188
16 Pt 0.677 0.677 0.960
17 Pt 0.778 0.778 0.612
18 Pt 0.960 0.960 0.671


Table of total DFT energy (no corrections) (eV/atom), in record order: -7.37, -8.66, -7.91, -7.26
Table of volume (Å³/atom), in record order: 18.69, 19.92, 19.69, 18.20